An optimized crystal structure of SiW2Br. Source: Alexandria, functional PBE. Values from VASP.

```
&SYSTEM
  ibrav = 0, nat = 4, ntyp = 3
/
ATOMIC_SPECIES
Si 28.09 Si.upf
W 183.84 W.upf
Br 79.90 Br.upf
CELL_PARAMETERS angstrom
3.214 0.000 0.000
0.000 3.214 0.000
0.000 0.000 6.883
ATOMIC_POSITIONS crystal
Si 0.000 0.000 0.000
W 0.500 0.500 0.178
W 0.500 0.500 0.822
Br 0.000 0.000 0.500
```

## Properties
**Energy relative to the lowest polymorph listed for this composition**: 254 meV/atom
**Symmetry**: No. 123
**ΔE_f (raw)**: 0.51 eV per atom
**V**: 17.8 A^3/atom
**D(E_F)**: 0.51 states/eV per atom